First-principles (PBE+U) data for crystalline Li5Mn5Sn2O12 at its relaxed geometry, as listed in Alexandria.

a b c (Å): 5.391 5.391 10.290
angles (deg): 84.79 84.79 119.89
Last column: magnetic moment on the atom in μB.
Positions (direct):
Li 0.827 0.679 0.252  0.00
Li 0.667 0.842 0.747  0.00
Li 0.321 0.173 0.748  0.00
Li 0.158 0.333 0.253  0.00
Li 0.089 0.911 0.500  0.00
Mn 0.915 0.085 0.000  4.61
Mn 0.000 0.509 0.744  4.58
Mn 0.491 0.000 0.256  4.58
Mn 0.578 0.422 0.000  4.61
Mn 0.428 0.572 0.500  4.13
Sn 0.760 0.240 0.500  0.03
Sn 0.247 0.753 0.000  0.03
O 0.027 0.207 0.626  0.06
O 0.793 0.973 0.374  0.06
O 0.884 0.393 0.120  0.07
O 0.607 0.116 0.880  0.07
O 0.695 0.516 0.615  -0.02
O 0.484 0.305 0.385  -0.02
O 0.524 0.715 0.121  0.07
O 0.285 0.476 0.879  0.07
O 0.397 0.856 0.611  -0.01
O 0.144 0.603 0.389  -0.01
O 0.207 0.027 0.124  0.07
O 0.973 0.793 0.876  0.07

Output
Space-group type   No. 5
E   -6.533 eV/atom